1.
Entry from the Alexandria database: crystalline Pr6Ir2PtI3 at its relaxed geometry (PBE-GGA).

Lattice parameters (Å, degrees): 7.388 12.793 8.535 90.00 106.77 90.00
Space group C2/m (No. 12)
Unique sites:
Pr (0.221, 0.000, 0.185) (multiplicity 4)
Pr (0.232, 0.330, 0.186) (multiplicity 8)
Ir (0.000, 0.167, 0.000) (multiplicity 4)
Pt (0.000, 0.500, 0.000) (multiplicity 2)
I (0.000, 0.000, 0.500) (multiplicity 2)
I (0.000, 0.333, 0.500) (multiplicity 4)

**Raw formation energy**: -1020 meV/atom
**Crystal system**: monoclinic

2.
Entry from the Alexandria database: crystalline SmTm2Sn at its relaxed geometry (PBE-GGA).

Lattice parameters (Å, degrees): 5.358 12.646 6.950 90.00 90.00 90.00
Space group Cmcm (No. 63)
Unique sites:
Sm (0.000, 0.066, 0.250) (multiplicity 4)
Tm (0.000, 0.370, 0.022) (multiplicity 8)
Sn (0.000, 0.180, 0.750) (multiplicity 4)

**Formation enthalpy at 0 K**: -0.273 eV/atom
**Crystal system**: orthorhombic
**Offset from the most stable computed form**: 146 meV/atom

3.
Entry from the Alexandria database: crystalline TmTePd at its relaxed geometry (PBE-GGA).

Lattice parameters (Å, degrees): 10.517 4.146 6.945 90.00 103.35 90.00
Space group C2/m (No. 12)
Unique sites:
Tm (0.103, 0.000, 0.229) (multiplicity 4)
Te (0.172, 0.000, 0.695) (multiplicity 4)
Pd (0.111, 0.500, 0.928) (multiplicity 4)

**Raw formation energy**: -1041 meV/atom
**Crystal system**: monoclinic

4.
Entry from the Alexandria database: crystalline La2Pm3Er8 at its relaxed geometry (PBE-GGA).

Lattice parameters (Å, degrees): 21.002 7.675 5.534 90.00 90.03 90.00
Space group C2/m (No. 12)
Unique sites:
La (0.240, 0.000, 0.499) (multiplicity 4)
Pm (0.000, 0.000, 0.500) (multiplicity 2)
Pm (0.000, 0.295, 0.000) (multiplicity 4)
Er (0.107, 0.288, 0.500) (multiplicity 8)
Er (0.126, 0.000, 0.000) (multiplicity 4)
Er (0.159, 0.500, 0.001) (multiplicity 4)

**Formation enthalpy at 0 K**: 0.255 eV/atom
**Crystal system**: monoclinic
**Offset from the most stable computed form**: 20 meV/atom

5.
Entry from the Alexandria database: crystalline Pm8Sm6Sc at its relaxed geometry (PBE-GGA).

Lattice parameters (Å, degrees): 9.8974 9.8974 17.8227 90.00 90.00 120.00
Space group R-3 (No. 148, hexagonal axes)
Unique sites:
Pm (0.0000, 0.0000, 0.0884) (multiplicity 6)
Pm (0.0584, 0.8196, 0.6702) (multiplicity 18)
Sm (0.0404, 0.6241, 0.8420) (multiplicity 18)
Sc (0.0000, 0.0000, 0.5000) (multiplicity 3)

**Formation enthalpy at 0 K**: 0.170 eV/atom
**Crystal system**: trigonal
**Offset from the most stable computed form**: 21 meV/atom

6.
Entry from the Alexandria database: crystalline In5Ag at its relaxed geometry (PBE-GGA).

Lattice parameters (Å, degrees): 5.5760 5.5760 5.6426 90.00 90.00 120.00
Space group P-62m (No. 189)
Unique sites:
In (0.0000, 0.6739, 0.0000) (multiplicity 3)
In (0.3333, 0.6667, 0.5000) (multiplicity 2)
Ag (0.0000, 0.0000, 0.5000) (multiplicity 1)

**Formation enthalpy at 0 K**: 0.053 eV/atom
**Crystal system**: hexagonal
**Offset from the most stable computed form**: 41 meV/atom

no.,raw total energy (eV per atom),total moment (μB per formula unit)
1,-5.78,0.0
2,-4.69,0.0
3,-5.31,0.0
4,-4.41,0.0
5,-4.67,0.0
6,-2.70,0.0